A relaxed structure of CsNdCr2O8, computed with PBE+U.

CIF file:
```
data_CsNdCr2O8
_space_group_name_H-M_alt 'P -3'
_space_group_IT_number 147
_space_group_name_Hall '-P 3'
_cell_length_a 5.9221
_cell_length_b 5.9221
_cell_length_c 8.5672
_cell_angle_alpha 90.00
_cell_angle_beta 90.00
_cell_angle_gamma 120.00
loop_
_atom_site_label
_atom_site_fract_x
_atom_site_fract_y
_atom_site_fract_z
Cs1 0.0000 0.0000 0.0000
Nd1 0.0000 0.0000 0.5000
Cr1 0.3333 0.6667 0.7363
O1 0.1729 0.3576 0.6719
O2 0.3333 0.6667 0.9258
```

Computed properties:
E, Ry/atom: -0.50797
D(E_F), states/eV/f.u.: 0.000